DFT (PBE) results for crystalline Ca3CeAl8 at its relaxed geometry.

The structure in CIF format:
```
data_Ca3CeAl8
_space_group_name_H-M_alt 'R 3 m'
_space_group_IT_number 160
_space_group_name_Hall 'R 3 -2"'
_cell_length_a 5.6412
_cell_length_b 5.6412
_cell_length_c 27.8365
_cell_angle_alpha 90.00
_cell_angle_beta 90.00
_cell_angle_gamma 120.00
loop_
_atom_site_label
_atom_site_type_symbol
_atom_site_fract_x
_atom_site_fract_y
_atom_site_fract_z
_atom_site_occupancy
Ca1 Ca 0.0000 0.0000 0.0000 1
Ca2 Ca 0.0000 0.0000 0.1253 1
Ca3 Ca 0.0000 0.0000 0.5004 1
Ce1 Ce 0.0000 0.0000 0.6254 1
Al1 Al 0.0000 0.0000 0.3126 1
Al2 Al 0.0000 0.0000 0.8125 1
Al3 Al 0.0011 0.5006 0.5633 1
Al4 Al 0.1680 0.3360 0.3956 1
```

Output
Total moment: 0.682 μB per formula unit
Polymorph energy (0 for the lowest one): 0 meV/atom
V: 21.3 Å³ per atom



DFT (PBE) results for crystalline CaCe2Al9 at its relaxed geometry.

The structure in CIF format:
```
data_CaCe2Al9
_space_group_name_H-M_alt 'R -3 m'
_space_group_IT_number 166
_space_group_name_Hall '-R 3 2"'
_cell_length_a 5.6579
_cell_length_b 5.6579
_cell_length_c 26.4613
_cell_angle_alpha 90.00
_cell_angle_beta 90.00
_cell_angle_gamma 120.00
loop_
_atom_site_label
_atom_site_type_symbol
_atom_site_fract_x
_atom_site_fract_y
_atom_site_fract_z
_atom_site_occupancy
Ca1 Ca 0.0000 0.0000 0.0000 1
Ce1 Ce 0.0000 0.0000 0.1440 1
Al1 Al 0.0000 0.0000 0.3357 1
Al2 Al 0.0000 0.0000 0.5000 1
Al3 Al 0.0079 0.5039 0.9166 1
```

Output
Total moment: 1.438 μB per formula unit
Total energy: -153.66 eV per cell
V: 20.4 Å³ per atom



DFT (PBE) results for crystalline CaCeAl2 at its relaxed geometry.

The structure in CIF format:
```
data_CaCeAl2
_space_group_name_H-M_alt 'R -3 m'
_space_group_IT_number 166
_space_group_name_Hall '-R 3 2"'
_cell_length_a 3.3434
_cell_length_b 3.3434
_cell_length_c 30.9155
_cell_angle_alpha 90.00
_cell_angle_beta 90.00
_cell_angle_gamma 120.00
loop_
_atom_site_label
_atom_site_type_symbol
_atom_site_fract_x
_atom_site_fract_y
_atom_site_fract_z
_atom_site_occupancy
Ca1 Ca 0.0000 0.0000 0.0000 1
Ce1 Ce 0.0000 0.0000 0.5000 1
Al1 Al 0.0000 0.0000 0.2504 1
```

Output
Total moment: 0.211 μB per formula unit
Total energy: -46.05 eV per cell
V: 24.9 Å³ per atom



DFT (PBE) results for crystalline CaCeAl at its relaxed geometry.

The structure in CIF format:
```
data_CaCeAl
_space_group_name_H-M_alt 'I 4 m m'
_space_group_IT_number 107
_space_group_name_Hall 'I 4 -2'
_cell_length_a 3.421
_cell_length_b 3.421
_cell_length_c 14.600
_cell_angle_alpha 90.00
_cell_angle_beta 90.00
_cell_angle_gamma 90.00
loop_
_atom_site_label
_atom_site_type_symbol
_atom_site_fract_x
_atom_site_fract_y
_atom_site_fract_z
_atom_site_occupancy
Ca1 Ca 0.000 0.000 0.000 1
Ce1 Ce 0.000 0.000 0.283 1
Al1 Al 0.000 0.000 0.646 1
```

Output
Total moment: 0.910 μB per formula unit
Polymorph energy (0 for the lowest one): 98 meV/atom
V: 28.5 Å³ per atom



DFT (PBE) results for crystalline CaCeAl6 at its relaxed geometry.

The structure in CIF format:
```
data_CaCeAl6
_space_group_name_H-M_alt 'P m m 2'
_space_group_IT_number 25
_cell_length_a 4.487
_cell_length_b 6.040
_cell_length_c 6.180
_cell_angle_alpha 90.00
_cell_angle_beta 90.00
_cell_angle_gamma 90.00
loop_
_space_group_symop_operation_xyz
'x,y,z'
'-x,-y,z'
'-x,y,z'
'x,-y,z'
loop_
_atom_site_label
_atom_site_type_symbol
_atom_site_fract_x
_atom_site_fract_y
_atom_site_fract_z
_atom_site_occupancy
Ca1 Ca 0.000 0.000 0.000 1
Ce1 Ce 0.500 0.500 0.214 1
Al1 Al 0.000 0.251 0.468 1
Al2 Al 0.000 0.500 0.852 1
Al3 Al 0.500 0.000 0.373 1
Al4 Al 0.500 0.260 0.738 1
```

Output
Total moment: 0.641 μB per formula unit
Total energy: -32.55 eV per cell
V: 20.9 Å³ per atom



DFT (PBE) results for crystalline CaCeAl at its relaxed geometry.

The structure in CIF format:
```
data_CaCeAl
_space_group_name_H-M_alt 'I 4/m m m'
_space_group_IT_number 139
_space_group_name_Hall '-I 4 2'
_cell_length_a 3.720
_cell_length_b 3.720
_cell_length_c 25.174
_cell_angle_alpha 90.00
_cell_angle_beta 90.00
_cell_angle_gamma 90.00
loop_
_atom_site_label
_atom_site_type_symbol
_atom_site_fract_x
_atom_site_fract_y
_atom_site_fract_z
_atom_site_occupancy
Ca1 Ca 0.000 0.000 0.075 1
Ce1 Ce 0.000 0.000 0.222 1
Al1 Al 0.000 0.000 0.348 1
```

Output
Total moment: 0.000 μB per formula unit
Polymorph energy (0 for the lowest one): 85 meV/atom
V: 29.0 Å³ per atom



DFT (PBE) results for crystalline CaCeAl2 at its relaxed geometry.

The structure in CIF format:
```
data_CaCeAl2
_space_group_name_H-M_alt 'P 4/m m m'
_space_group_IT_number 123
_space_group_name_Hall '-P 4 2'
_cell_length_a 3.268
_cell_length_b 3.268
_cell_length_c 8.957
_cell_angle_alpha 90.00
_cell_angle_beta 90.00
_cell_angle_gamma 90.00
loop_
_atom_site_label
_atom_site_type_symbol
_atom_site_fract_x
_atom_site_fract_y
_atom_site_fract_z
_atom_site_occupancy
Ca1 Ca 0.000 0.000 0.000 1
Ce1 Ce 0.000 0.000 0.500 1
Al1 Al 0.500 0.500 0.253 1
```

Output
Total moment: 0.027 μB per formula unit
Total energy: -16.37 eV per cell
V: 23.9 Å³ per atom



DFT (PBE) results for crystalline CaCeAl at its relaxed geometry.

The structure in CIF format:
```
data_CaCeAl
_space_group_name_H-M_alt 'P 3 m 1'
_space_group_IT_number 156
_cell_length_a 5.3441
_cell_length_b 5.3441
_cell_length_c 3.0352
_cell_angle_alpha 90.00
_cell_angle_beta 90.00
_cell_angle_gamma 120.00
loop_
_space_group_symop_operation_xyz
'x,y,z'
'-y,x-y,z'
'-x+y,-x,z'
'-y,-x,z'
'-x+y,y,z'
'x,x-y,z'
loop_
_atom_site_label
_atom_site_type_symbol
_atom_site_fract_x
_atom_site_fract_y
_atom_site_fract_z
_atom_site_occupancy
Ca1 Ca 0.0000 0.0000 0.0000 1
Ce1 Ce 0.6667 0.3333 0.0029 1
Al1 Al 0.3333 0.6667 0.5013 1
```

Output
Total moment: 1.423 μB per formula unit
Polymorph energy (0 for the lowest one): 252 meV/atom
V: 25.0 Å³ per atom



DFT (PBE) results for crystalline CaCe3Al8 at its relaxed geometry.

The structure in CIF format:
```
data_CaCe3Al8
_space_group_name_H-M_alt 'R 3 m'
_space_group_IT_number 160
_space_group_name_Hall 'R 3 -2"'
_cell_length_a 5.6230
_cell_length_b 5.6230
_cell_length_c 27.5912
_cell_angle_alpha 90.00
_cell_angle_beta 90.00
_cell_angle_gamma 120.00
loop_
_atom_site_label
_atom_site_type_symbol
_atom_site_fract_x
_atom_site_fract_y
_atom_site_fract_z
_atom_site_occupancy
Ca1 Ca 0.0000 0.0000 0.0000 1
Ce1 Ce 0.0000 0.0000 0.3756 1
Ce2 Ce 0.0000 0.0000 0.5005 1
Ce3 Ce 0.0000 0.0000 0.8746 1
Al1 Al 0.0000 0.0000 0.1880 1
Al2 Al 0.0000 0.0000 0.6877 1
Al3 Al 0.0001 0.5000 0.9372 1
Al4 Al 0.0010 0.5005 0.4379 1
```

Output
Total moment: 2.324 μB per formula unit
Total energy: -164.28 eV per cell
V: 21.0 Å³ per atom



DFT (PBE) results for crystalline CaCeEuAl at its relaxed geometry.

The structure in CIF format:
```
data_CaCeEuAl
_space_group_name_H-M_alt 'F -4 3 m'
_space_group_IT_number 216
_space_group_name_Hall 'F -4 2 3'
_cell_length_a 7.783
_cell_length_b 7.783
_cell_length_c 7.783
_cell_angle_alpha 90.00
_cell_angle_beta 90.00
_cell_angle_gamma 90.00
loop_
_atom_site_label
_atom_site_type_symbol
_atom_site_fract_x
_atom_site_fract_y
_atom_site_fract_z
_atom_site_occupancy
Ca1 Ca 0.000 0.000 0.000 1
Ce1 Ce 0.000 0.000 0.500 1
Eu1 Eu 0.250 0.250 0.750 1
Al1 Al 0.250 0.250 0.250 1
```

Output
Total moment: 9.178 μB per formula unit
Total energy: -86.92 eV per cell
V: 29.5 Å³ per atom



DFT (PBE) results for crystalline CaCeAlGa at its relaxed geometry.

The structure in CIF format:
```
data_CaCeAlGa
_space_group_name_H-M_alt 'F -4 3 m'
_space_group_IT_number 216
_space_group_name_Hall 'F -4 2 3'
_cell_length_a 7.328
_cell_length_b 7.328
_cell_length_c 7.328
_cell_angle_alpha 90.00
_cell_angle_beta 90.00
_cell_angle_gamma 90.00
loop_
_atom_site_label
_atom_site_type_symbol
_atom_site_fract_x
_atom_site_fract_y
_atom_site_fract_z
_atom_site_occupancy
Ca1 Ca 0.000 0.000 0.000 1
Ce1 Ce 0.000 0.000 0.500 1
Al1 Al 0.250 0.250 0.250 1
Ga1 Ga 0.250 0.250 0.750 1
```

Output
Total moment: 0.575 μB per formula unit
Total energy: -64.21 eV per cell
V: 24.6 Å³ per atom



DFT (PBE) results for crystalline CaLaCeAl at its relaxed geometry.

The structure in CIF format:
```
data_CaLaCeAl
_space_group_name_H-M_alt 'F -4 3 m'
_space_group_IT_number 216
_space_group_name_Hall 'F -4 2 3'
_cell_length_a 7.844
_cell_length_b 7.844
_cell_length_c 7.844
_cell_angle_alpha 90.00
_cell_angle_beta 90.00
_cell_angle_gamma 90.00
loop_
_atom_site_label
_atom_site_type_symbol
_atom_site_fract_x
_atom_site_fract_y
_atom_site_fract_z
_atom_site_occupancy
Ca1 Ca 0.000 0.000 0.000 1
La1 La 0.250 0.250 0.250 1
Ce1 Ce 0.250 0.250 0.750 1
Al1 Al 0.000 0.000 0.500 1
```

Output
Total moment: 1.275 μB per formula unit
Total energy: -66.07 eV per cell
V: 30.2 Å³ per atom



> The lowest V belongs to which entry?

CaCe2Al9



> The highest total moment belongs to which entry?

CaCeEuAl